Tl2FePdCl6: optimized geometry, GGA-PBE.

The structure in extended XYZ format:
```
10
Lattice="0.000 4.946 4.946 4.946 0.000 4.946 4.946 4.946 0.000" Properties=species:S:1:pos:R:3 pbc="T T T"
Tl 2.473 2.473 2.473
Tl 7.419 7.419 7.419
Fe 0.000 0.000 0.000
Pd 4.946 4.946 4.946
Cl 4.946 4.946 2.405
Cl 4.946 2.405 4.946
Cl 7.487 4.946 4.946
Cl 2.405 4.946 4.946
Cl 4.946 7.487 4.946
Cl 4.946 4.946 7.487
```

- density (g/cm3) = 5.4
- raw total energy (eV/atom) = -3.663
- space-group type = No. 225